# K2Nb2AgO7, optimized geometry, DFT PBE
data_K2Nb2AgO7
_chemical_formula_sum 'K4 Nb4 Ag2 O14'
_symmetry_space_group_name_H-M 'C 1 2/m 1'
_symmetry_Int_Tables_number 12
_symmetry_space_group_name_Hall '-C 2y'
_cell_length_a 5.700
_cell_length_b 5.698
_cell_length_c 11.397
_cell_angle_alpha 90.00
_cell_angle_beta 104.27
_cell_angle_gamma 90.00
loop_
_atom_site_label
_atom_site_type_symbol
_atom_site_fract_x
_atom_site_fract_y
_atom_site_fract_z
K1 K 0.194 0.000 0.383
Nb1 Nb 0.105 0.500 0.195
Ag1 Ag 0.000 0.000 0.000
O1 O 0.000 0.500 0.000
O2 O 0.166 0.253 0.819
O3 O 0.180 0.500 0.365
# Energy relative to the elements, uncorrected (meV per atom): -1911
# DFT total energy (eV per atom): -6.9022
# Magnetization (μB/cell): 2.07

***

# BaReTe2, optimized geometry, DFT PBE
data_BaReTe2
_chemical_formula_sum 'Ba2 Re2 Te4'
_symmetry_space_group_name_H-M 'I m m 2'
_symmetry_Int_Tables_number 44
_symmetry_space_group_name_Hall 'I 2 -2'
_cell_length_a 3.512
_cell_length_b 4.197
_cell_length_c 15.345
_cell_angle_alpha 90.00
_cell_angle_beta 90.00
_cell_angle_gamma 90.00
loop_
_atom_site_label
_atom_site_type_symbol
_atom_site_fract_x
_atom_site_fract_y
_atom_site_fract_z
Ba1 Ba 0.000 0.000 0.000
Re1 Re 0.000 0.500 0.732
Te1 Te 0.000 0.000 0.366
Te2 Te 0.000 0.500 0.173
# Offset from the most stable computed form (kJ/mol of atoms): 28.92
# Energy relative to the elements, uncorrected (meV per atom): 25
# DFT total energy (eV per atom): -5.1389
# Magnetization (μB/cell): 0.00

***

Q: Which value of energy relative to the elements, uncorrected does entry 1 give?
A: -1911 meV per atom